No. 1
Ba2CdHg2: optimized geometry, PBE.

Output
The relative energy among the computed polymorphs comes out at 148 meV/atom. The calculation puts the density of states at the Fermi level at 11.18 states/eV/cell.

abc: 9.5775 9.5775 4.2748
angles: 90.00 90.00 90.00
With the nearest neighbours (Å) after each atom.
Atoms (fractional coordinates):
Ba 0.1588 0.3412 0.0000  6 Hg 3.52-3.54, 2 Cd 3.60
Ba 0.3412 0.8412 0.0000  6 Hg 3.52-3.54, 2 Cd 3.60
Ba 0.6588 0.1588 0.0000  6 Hg 3.52-3.54, 2 Cd 3.60
Ba 0.8412 0.6588 0.0000  6 Hg 3.52-3.54, 2 Cd 3.60
Cd 0.0000 0.0000 0.0000  4 Ba 3.60
Cd 0.5000 0.5000 0.0000  4 Ba 3.60
Hg 0.1347 0.6347 0.5000  6 Ba 3.52-3.54, 1 Hg 3.65
Hg 0.3653 0.1347 0.5000  6 Ba 3.52-3.54, 1 Hg 3.65
Hg 0.6347 0.8653 0.5000  6 Ba 3.52-3.54, 1 Hg 3.65
Hg 0.8653 0.3653 0.5000  6 Ba 3.52-3.54, 1 Hg 3.65

No. 2
BaCd2Hg8: optimized geometry, PBE.

Output
The relative energy among the computed polymorphs comes out at 0 meV/atom. The calculation puts the density of states at the Fermi level at 4.12 states/eV/cell.

abc: 9.0897 9.0897 5.6691
angles: 100.24 100.24 42.22
With the nearest neighbours (Å) after each atom.
Atoms (fractional coordinates):
Ba 0.0000 0.0000 0.0000  14 Hg 3.58-3.67
Cd 0.2537 0.2537 0.5220  7 Hg 2.88-3.22
Cd 0.7463 0.7463 0.4780  7 Hg 2.88-3.22
Hg 0.1609 0.6513 0.4478  6 Hg 3.13-3.37, 2 Cd 3.14-3.22
Hg 0.2115 0.2115 0.0045  2 Cd 2.88-2.96
Hg 0.3487 0.8391 0.5522  6 Hg 3.13-3.37, 2 Cd 3.14-3.22
Hg 0.4006 0.4006 0.9577  1 Cd 3.16, 6 Hg 3.19-3.32
Hg 0.5994 0.5994 0.0423  1 Cd 3.16, 6 Hg 3.19-3.32
Hg 0.6513 0.1609 0.4478  6 Hg 3.13-3.37, 2 Cd 3.14-3.22
Hg 0.7885 0.7885 0.9955  2 Cd 2.88-2.96
Hg 0.8391 0.3487 0.5522  6 Hg 3.13-3.37, 2 Cd 3.14-3.22

No. 3
BaCdHg: optimized geometry, PBE.

Output
The calculation puts the density of states at the Fermi level at 15.84 states/eV/cell.

abc: 7.6739 7.6739 7.6739
angles: 90.00 90.00 90.00
With the nearest neighbours (Å) after each atom.
Atoms (fractional coordinates):
Ba 0.0000 0.0000 0.0000  4 Hg 3.32
Ba 0.0000 0.5000 0.5000  4 Hg 3.32
Ba 0.5000 0.0000 0.5000  4 Hg 3.32
Ba 0.5000 0.5000 0.0000  4 Hg 3.32
Cd 0.0000 0.0000 0.5000  4 Hg 3.32
Cd 0.0000 0.5000 0.0000  4 Hg 3.32
Cd 0.5000 0.0000 0.0000  4 Hg 3.32
Cd 0.5000 0.5000 0.5000  4 Hg 3.32
Hg 0.2500 0.2500 0.7500  4 Cd 3.32, 4 Ba 3.32
Hg 0.2500 0.7500 0.2500  4 Cd 3.32, 4 Ba 3.32
Hg 0.7500 0.2500 0.2500  4 Cd 3.32, 4 Ba 3.32
Hg 0.7500 0.7500 0.7500  4 Cd 3.32, 4 Ba 3.32

No. 4
BaCd6Hg12: optimized geometry, PBE.

Output
The relative energy among the computed polymorphs comes out at 28 meV/atom. The calculation puts the density of states at the Fermi level at 8.04 states/eV/cell.

abc: 8.3714 8.3714 8.3714
angles: 104.57 104.57 104.57
With the nearest neighbours (Å) after each atom.
Atoms (fractional coordinates):
Ba 0.0000 0.0000 0.0000  6 Hg 3.58
Cd 0.2883 0.7069 0.7069  8 Hg 2.95-3.28
Cd 0.2931 0.2931 0.7117  8 Hg 2.95-3.28
Cd 0.2931 0.7117 0.2931  8 Hg 2.95-3.28
Cd 0.7069 0.2883 0.7069  8 Hg 2.95-3.28
Cd 0.7069 0.7069 0.2883  8 Hg 2.95-3.28
Cd 0.7117 0.2931 0.2931  8 Hg 2.95-3.28
Hg 0.1107 0.5000 0.8893  3 Hg 2.93-3.19, 4 Cd 2.95-3.15
Hg 0.1107 0.8893 0.5000  3 Hg 2.93-3.19, 4 Cd 2.95-3.15
Hg 0.1351 0.3806 0.3806  4 Cd 3.05-3.28, 4 Hg 3.19-3.25
Hg 0.3806 0.1351 0.3806  4 Cd 3.05-3.28, 4 Hg 3.19-3.25
Hg 0.3806 0.3806 0.1351  4 Cd 3.05-3.28, 4 Hg 3.19-3.25
Hg 0.5000 0.1107 0.8893  3 Hg 2.93-3.19, 4 Cd 2.95-3.15
Hg 0.5000 0.8893 0.1107  3 Hg 2.93-3.19, 4 Cd 2.95-3.15
Hg 0.6194 0.6194 0.8649  4 Cd 3.05-3.28, 4 Hg 3.19-3.25
Hg 0.6194 0.8649 0.6194  4 Cd 3.05-3.28, 4 Hg 3.19-3.25
Hg 0.8649 0.6194 0.6194  4 Cd 3.05-3.28, 4 Hg 3.19-3.25
Hg 0.8893 0.1107 0.5000  3 Hg 2.93-3.19, 4 Cd 2.95-3.15
Hg 0.8893 0.5000 0.1107  3 Hg 2.93-3.19, 4 Cd 2.95-3.15

No. 5
Ba2CdHg: optimized geometry, PBE.

Output
The relative energy among the computed polymorphs comes out at 91 meV/atom. The calculation puts the density of states at the Fermi level at 7.38 states/eV/cell.

abc: 4.1596 5.8684 12.1444
angles: 90.00 90.00 90.00
With the nearest neighbours (Å) after each atom.
Atoms (fractional coordinates):
Ba 0.0000 0.0000 0.0000  2 Hg 3.65, 4 Cd 3.69, 2 Ba 3.78
Ba 0.0000 0.5000 0.1957  4 Hg 3.65, 2 Ba 3.78, 2 Cd 3.81
Ba 0.5000 0.0000 0.6957  4 Hg 3.65, 2 Ba 3.78, 2 Cd 3.81
Ba 0.5000 0.5000 0.5000  2 Hg 3.65, 4 Cd 3.69, 2 Ba 3.78
Cd 0.0000 0.0000 0.4330  2 Hg 3.07
Cd 0.5000 0.5000 0.9330  2 Hg 3.07
Hg 0.0000 0.5000 0.7470  2 Cd 3.07
Hg 0.5000 0.0000 0.2470  2 Cd 3.07

No. 6
BaCd2Hg2: optimized geometry, PBE.

Output
The relative energy among the computed polymorphs comes out at 143 meV/atom. The calculation puts the density of states at the Fermi level at 4.79 states/eV/cell.

abc: 8.6597 8.6597 4.0678
angles: 90.00 90.00 90.00
With the nearest neighbours (Å) after each atom.
Atoms (fractional coordinates):
Ba 0.0000 0.0000 0.0000  4 Hg 3.42, 8 Cd 3.82
Ba 0.5000 0.5000 0.0000  4 Hg 3.42, 8 Cd 3.82
Cd 0.1659 0.3341 0.5000  6 Hg 3.26
Cd 0.3341 0.8341 0.5000  6 Hg 3.26
Cd 0.6659 0.1659 0.5000  6 Hg 3.26
Cd 0.8341 0.6659 0.5000  6 Hg 3.26
Hg 0.1263 0.6263 0.0000  1 Hg 3.09, 6 Cd 3.26, 2 Ba 3.42
Hg 0.3737 0.1263 0.0000  1 Hg 3.09, 6 Cd 3.26, 2 Ba 3.42
Hg 0.6263 0.8737 0.0000  1 Hg 3.09, 6 Cd 3.26, 2 Ba 3.42
Hg 0.8737 0.3737 0.0000  1 Hg 3.09, 6 Cd 3.26, 2 Ba 3.42

No. 7
BaCdHg6: optimized geometry, PBE.

Output
The relative energy among the computed polymorphs comes out at 0 meV/atom. The calculation puts the density of states at the Fermi level at 2.14 states/eV/cell.

abc: 10.0095 10.0095 10.0095
angles: 30.43 30.43 30.43
With the nearest neighbours (Å) after each atom.
Atoms (fractional coordinates):
Ba 0.0000 0.0000 0.0000  14 Hg 3.50-3.85
Cd 0.5000 0.5000 0.5000  8 Hg 3.03-3.17
Hg 0.1340 0.1340 0.1340  3 Cd 3.17, 4 Hg 3.33-3.37
Hg 0.2504 0.2504 0.2504  7 Hg 3.10-3.37
Hg 0.3940 0.3940 0.3940  1 Cd 3.03, 3 Hg 3.10
Hg 0.6060 0.6060 0.6060  1 Cd 3.03, 3 Hg 3.10
Hg 0.7496 0.7496 0.7496  7 Hg 3.10-3.37
Hg 0.8660 0.8660 0.8660  3 Cd 3.17, 4 Hg 3.33-3.37

No. 8
Ba12CdHg6: optimized geometry, PBE.

Output
The calculation puts the density of states at the Fermi level at 25.49 states/eV/cell.

abc: 10.4206 10.4206 10.4206
angles: 109.47 109.47 109.47
With the nearest neighbours (Å) after each atom.
Atoms (fractional coordinates):
Ba 0.1191 0.2963 0.8227  3 Hg 3.37-3.61
Ba 0.1773 0.4736 0.2963  3 Hg 3.37-3.61
Ba 0.1773 0.8809 0.7037  3 Hg 3.37-3.61
Ba 0.2963 0.1773 0.4736  3 Hg 3.37-3.61
Ba 0.2963 0.8227 0.1191  3 Hg 3.37-3.61
Ba 0.4736 0.2963 0.1773  3 Hg 3.37-3.61
Ba 0.5264 0.7037 0.8227  3 Hg 3.37-3.61
Ba 0.7037 0.1773 0.8809  3 Hg 3.37-3.61
Ba 0.7037 0.8227 0.5264  3 Hg 3.37-3.61
Ba 0.8227 0.1191 0.2963  3 Hg 3.37-3.61
Ba 0.8227 0.5264 0.7037  3 Hg 3.37-3.61
Ba 0.8809 0.7037 0.1773  3 Hg 3.37-3.61
Cd 0.0000 0.0000 0.0000  12 Ba 4.15
Hg 0.1309 0.5000 0.6309  1 Hg 3.15, 2 Ba 3.37
Hg 0.3691 0.8691 0.5000  1 Hg 3.15, 2 Ba 3.37
Hg 0.5000 0.3691 0.8691  1 Hg 3.15, 2 Ba 3.37
Hg 0.5000 0.6309 0.1309  1 Hg 3.15, 2 Ba 3.37
Hg 0.6309 0.1309 0.5000  1 Hg 3.15, 2 Ba 3.37
Hg 0.8691 0.5000 0.3691  1 Hg 3.15, 2 Ba 3.37

No. 9
Ba3Cd4Hg2: optimized geometry, PBE.

Output
The calculation puts the density of states at the Fermi level at 7.38 states/eV/cell.

abc: 6.7464 6.7464 10.0638
angles: 108.75 108.75 45.01
With the nearest neighbours (Å) after each atom.
Atoms (fractional coordinates):
Ba 0.0000 0.0000 0.0000  8 Cd 3.67-3.71, 4 Hg 3.67
Ba 0.3300 0.3300 0.3362  8 Cd 3.67-3.76, 4 Hg 3.68-3.73
Ba 0.6700 0.6700 0.6638  8 Cd 3.67-3.76, 4 Hg 3.68-3.73
Cd 0.0501 0.0501 0.3859  1 Cd 2.97, 2 Hg 3.00
Cd 0.2757 0.2757 0.9445  2 Cd 2.97, 1 Hg 3.02
Cd 0.7243 0.7243 0.0555  2 Cd 2.97, 1 Hg 3.02
Cd 0.9499 0.9499 0.6141  1 Cd 2.97, 2 Hg 3.00
Hg 0.3921 0.3921 0.7263  3 Cd 3.00-3.02
Hg 0.6079 0.6079 0.2737  3 Cd 3.00-3.02

No. 10
Ba3CdHg: optimized geometry, PBE.

Output
The relative energy among the computed polymorphs comes out at 305 meV/atom. The calculation puts the density of states at the Fermi level at 9.35 states/eV/cell.

abc: 6.5679 6.5679 6.5679
angles: 90.00 90.00 90.00
With the nearest neighbours (Å) after each atom.
Atoms (fractional coordinates):
Ba 0.0000 0.0000 0.5000  2 Hg 3.28
Ba 0.0000 0.5000 0.0000  2 Hg 3.28
Ba 0.5000 0.0000 0.0000  2 Hg 3.28
Cd 0.5000 0.5000 0.5000  12 Ba 4.64
Hg 0.0000 0.0000 0.0000  6 Ba 3.28

| no. | formation energy (eV/atom) | electronic total energy (eV/atom) |
| --- | --- | --- |
| 1 | -0.286 | -1.36 |
| 2 | -0.162 | -0.72 |
| 3 | -0.278 | -1.32 |
| 4 | -0.062 | -0.64 |
| 5 | -0.329 | -1.59 |
| 6 | -0.196 | -1.07 |
| 7 | -0.224 | -0.81 |
| 8 | -0.306 | -1.66 |
| 9 | -0.387 | -1.50 |
| 10 | -0.045 | -1.44 |